Entry from Alexandria via LeMat-Bulk: a relaxed structure of Pm6Ge3N2 (PBE-GGA). Values from VASP.

Cell and atoms, written as Quantum ESPRESSO input:
```
&SYSTEM
  ibrav = 0, nat = 11, ntyp = 3
/
ATOMIC_SPECIES
Pm 145.00 Pm.upf
Ge 72.64 Ge.upf
N 14.01 N.upf
ATOMIC_POSITIONS crystal
Pm 0.083 0.583 0.166
Pm 0.583 0.083 0.166
Pm 0.917 0.417 0.834
Pm 0.417 0.917 0.834
Pm 0.698 0.698 0.396
Pm 0.302 0.302 0.604
Ge 0.000 0.000 0.000
Ge 0.826 0.826 0.652
Ge 0.174 0.174 0.348
N 0.397 0.397 0.793
N 0.603 0.603 0.207
CELL_PARAMETERS angstrom
4.758 0.000 0.000
0.000 4.758 0.000
-2.379 -2.379 12.177
```

Output
raw total energy	-69.6	eV/cell
DOS(E_F)	2.1	states/eV/f.u.
symmetry	I4/mmm, No. 139



Entry from Alexandria via LeMat-Bulk: a relaxed structure of CeNi9Sb2 (PBE-GGA). Values from VASP.

Cell and atoms, written as Quantum ESPRESSO input:
```
&SYSTEM
  ibrav = 0, nat = 12, ntyp = 3
/
ATOMIC_SPECIES
Ce 140.12 Ce.upf
Ni 58.69 Ni.upf
Sb 121.76 Sb.upf
ATOMIC_POSITIONS crystal
Ce 0.000 0.000 0.000
Ni 0.667 0.667 0.000
Ni 0.333 0.333 0.000
Ni 0.500 0.500 0.500
Ni 0.415 0.415 0.253
Ni 0.918 0.415 0.253
Ni 0.415 0.918 0.253
Ni 0.585 0.585 0.747
Ni 0.585 0.082 0.747
Ni 0.082 0.585 0.747
Sb 0.866 0.866 0.403
Sb 0.134 0.134 0.597
CELL_PARAMETERS angstrom
-0.817 -0.829 -4.769
-4.060 -2.366 -1.419
-5.524 5.958 -2.616
```

Output
raw total energy	-68.5	eV/cell
DOS(E_F)	13.5	states/eV/f.u.
symmetry	R-3m, No. 166



Entry from Alexandria via LeMat-Bulk: a relaxed structure of MnAlP (PBE-GGA). Values from VASP.

Cell and atoms, written as Quantum ESPRESSO input:
```
&SYSTEM
  ibrav = 0, nat = 3, ntyp = 3
/
ATOMIC_SPECIES
P 30.97 P.upf
Mn 54.94 Mn.upf
Al 26.98 Al.upf
ATOMIC_POSITIONS crystal
P 0.688 0.689 0.000
Mn 0.312 0.312 0.000
Al 0.000 0.000 0.000
CELL_PARAMETERS angstrom
4.569 0.007 -0.002
2.536 3.802 0.001
-3.552 -1.906 2.153
```

Output
DFT formation energy	-0.327	eV per atom
DOS(E_F)	1.2	states/eV/f.u.
symmetry	I4mm, No. 107



Entry from Alexandria via LeMat-Bulk: a relaxed structure of AlGaOsO6 (PBE-GGA). Values from VASP.

Cell and atoms, written as Quantum ESPRESSO input:
```
&SYSTEM
  ibrav = 0, nat = 18, ntyp = 4
/
ATOMIC_SPECIES
Al 26.98 Al.upf
Ga 69.72 Ga.upf
Os 190.23 Os.upf
O 16.00 O.upf
ATOMIC_POSITIONS crystal
Al 0.667 0.333 0.250
Al 0.333 0.667 0.750
Ga 0.000 0.000 0.000
Ga 0.000 0.000 0.500
Os 0.333 0.667 0.250
Os 0.667 0.333 0.750
O 0.659 0.654 0.131
O 0.995 0.341 0.131
O 0.341 0.995 0.631
O 0.005 0.659 0.869
O 0.346 0.341 0.369
O 0.995 0.654 0.369
O 0.654 0.995 0.869
O 0.659 0.005 0.369
O 0.005 0.346 0.631
O 0.346 0.005 0.131
O 0.654 0.659 0.631
O 0.341 0.346 0.869
CELL_PARAMETERS angstrom
-0.269 -1.084 -4.810
-2.416 -2.773 3.295
-6.953 5.144 -0.769
```

Output
raw total energy	-125.1	eV/cell
DOS(E_F)	4.0	states/eV/f.u.
symmetry	P-31c, No. 163